The following is a DFT calculation (GGA-PBE) of a relaxed structure of ScHgCl2.

Cell lengths 4.6642, 4.6642, 4.1677 Å; angles 90.00, 90.00, 90.00 degrees
Last column: nearest neighbours and their distance in Å.
Sites, in units of the cell vectors:
Sc (0.0000, 0.5000, 0.5000)  8 Cl 3.13, 4 Hg 3.30
Hg (0.5000, 0.0000, 0.5000)  8 Cl 3.13, 4 Sc 3.30
Cl (0.0000, 0.0000, 0.0000)  4 Hg 3.13, 4 Sc 3.13, 4 Cl 3.30
Cl (0.5000, 0.5000, 0.0000)  4 Hg 3.13, 4 Sc 3.13, 4 Cl 3.30

Calculated total energy (eV per atom): -3.27
Magnetic moment (μB per formula unit): 0.9
ΔE to the lowest computed polymorph (eV per atom): 0.704
E_form (uncorrected) (eV/atom): -0.6852

---

The following is a DFT calculation (GGA-PBE) of a relaxed structure of In5Hg6Bi2.

Cell lengths 3.9657, 9.1821, 20.3144 Å; angles 90.00, 97.13, 90.00 degrees
Last column: nearest neighbours and their distance in Å.
Sites, in units of the cell vectors:
In (0.6045, 0.3759, 0.4442)  4 Hg 3.12-3.18, 2 Bi 3.17-3.38, 1 In 3.39
In (0.3955, 0.6241, 0.5558)  4 Hg 3.12-3.18, 2 Bi 3.17-3.38, 1 In 3.39
In (0.3955, 0.8759, 0.0558)  4 Hg 3.12-3.18, 2 Bi 3.17-3.38, 1 In 3.39
In (0.6045, 0.1241, 0.9442)  4 Hg 3.12-3.18, 2 Bi 3.17-3.38, 1 In 3.39
In (0.5435, 0.6516, 0.2330)  2 Hg 3.00-3.02, 2 Bi 3.23-3.24
In (0.4565, 0.3484, 0.7670)  2 Hg 3.00-3.02, 2 Bi 3.23-3.24
In (0.4565, 0.1516, 0.2670)  2 Hg 3.00-3.02, 2 Bi 3.23-3.24
In (0.5435, 0.8484, 0.7330)  2 Hg 3.00-3.02, 2 Bi 3.23-3.24
In (0.5000, 0.5000, 0.0000)  6 Hg 3.06-3.35
In (0.5000, 0.0000, 0.5000)  6 Hg 3.06-3.35
Hg (0.9431, 0.0978, 0.3911)  4 In 3.02-3.14, 1 Hg 3.05
Hg (0.0569, 0.9022, 0.6089)  4 In 3.02-3.14, 1 Hg 3.05
Hg (0.0569, 0.5978, 0.1089)  4 In 3.02-3.14, 1 Hg 3.05
Hg (0.9431, 0.4022, 0.8911)  4 In 3.02-3.14, 1 Hg 3.05
Hg (0.7497, 0.3252, 0.1628)  1 In 3.00, 3 Hg 3.04-3.13
Hg (0.2503, 0.6748, 0.8372)  1 In 3.00, 3 Hg 3.04-3.13
Hg (0.2503, 0.8252, 0.3372)  1 In 3.00, 3 Hg 3.04-3.13
Hg (0.7497, 0.1748, 0.6628)  1 In 3.00, 3 Hg 3.04-3.13
Hg (0.8336, 0.7005, 0.4395)  2 Hg 3.04-3.13, 4 In 3.12-3.35
Hg (0.1664, 0.2995, 0.5605)  2 Hg 3.04-3.13, 4 In 3.12-3.35
Hg (0.1664, 0.2005, 0.0605)  2 Hg 3.04-3.13, 4 In 3.12-3.35
Hg (0.8336, 0.7995, 0.9395)  2 Hg 3.04-3.13, 4 In 3.12-3.35
Bi (0.0684, 0.4314, 0.3174)  5 In 3.17-3.38, 2 Hg 3.38-3.47
Bi (0.9316, 0.5686, 0.6826)  5 In 3.17-3.38, 2 Hg 3.38-3.47
Bi (0.9316, 0.9314, 0.1826)  5 In 3.17-3.38, 2 Hg 3.38-3.47
Bi (0.0684, 0.0686, 0.8174)  5 In 3.17-3.38, 2 Hg 3.38-3.47

Calculated total energy (eV per atom): -1.75
Magnetic moment (μB per formula unit): 0.0
Formation energy (eV per atom): 0.037

---

The following is a DFT calculation (GGA-PBE) of a relaxed structure of LiP4.

Cell lengths 5.1849, 5.1849, 5.1849 Å; angles 127.87, 127.87, 76.84 degrees
Last column: nearest neighbours and their distance in Å.
Sites, in units of the cell vectors:
Li (0.0000, 0.0000, 0.0000)  2 P 2.65
P (0.7500, 0.2500, 0.5000)  4 P 2.36
P (0.2500, 0.7500, 0.5000)  4 P 2.36
P (0.6739, 0.6739, 0.0000)  4 P 2.36
P (0.3261, 0.3261, 0.0000)  4 P 2.36

Calculated total energy (eV per atom): -4.66
Magnetic moment (μB per formula unit): 0.0
ΔE to the lowest computed polymorph (eV per atom): 0.181
Formation energy (eV per atom): 0.054

---

The following is a DFT calculation (GGA-PBE) of a relaxed structure of CaTc2Hg.

Cell lengths 5.2237, 5.2237, 5.2237 Å; angles 136.41, 124.00, 73.54 degrees
Last column: nearest neighbours and their distance in Å.
Sites, in units of the cell vectors:
Ca (0.4837, 0.4837, 0.0000)  8 Tc 3.00-3.16, 4 Hg 3.04-3.07
Hg (0.7638, 0.2638, 0.5000)  8 Tc 3.03-3.16, 4 Ca 3.04-3.07
Tc (0.0416, 0.0416, 0.0000)  2 Tc 2.40
Tc (0.2109, 0.7109, 0.5000)  2 Tc 2.40

Calculated total energy (eV per atom): -5.36
Magnetic moment (μB per formula unit): 0.0
Formation energy (eV per atom): 0.395

---

The following is a DFT calculation (GGA-PBE) of a relaxed structure of TiGaCu2.

Cell lengths 3.7249, 3.8856, 3.8856 Å; angles 90.00, 90.00, 90.00 degrees
Last column: nearest neighbours and their distance in Å.
Sites, in units of the cell vectors:
Cu (0.0000, 0.0000, 0.5000)  4 Ti 2.69, 4 Ga 2.69, 4 Cu 2.75
Cu (0.0000, 0.5000, 0.0000)  4 Ti 2.69, 4 Ga 2.69, 4 Cu 2.75
Ga (0.5000, 0.0000, 0.0000)  8 Cu 2.69, 4 Ti 2.75
Ti (0.5000, 0.5000, 0.5000)  8 Cu 2.69, 4 Ga 2.75

Calculated total energy (eV per atom): -4.94
Magnetic moment (μB per formula unit): 0.0
Formation energy (eV per atom): -0.158

---

The following is a DFT calculation (GGA-PBE) of a relaxed structure of Dy2HoTe.

Cell lengths 3.8591, 3.8591, 7.8406 Å; angles 90.00, 90.00, 90.00 degrees
Last column: nearest neighbours and their distance in Å.
Sites, in units of the cell vectors:
Te (0.5000, 0.5000, 0.5000)  8 Dy 3.25
Ho (0.5000, 0.5000, 0.0000)  8 Dy 3.47, 4 Ho 3.86
Dy (0.0000, 0.0000, 0.7262)  4 Te 3.25, 4 Ho 3.47, 1 Dy 3.55
Dy (0.0000, 0.0000, 0.2738)  4 Te 3.25, 4 Ho 3.47, 1 Dy 3.55

Calculated total energy (eV per atom): -4.78
Magnetic moment (μB per formula unit): 0.0
ΔE to the lowest computed polymorph (eV per atom): 0.095
E_form (uncorrected) (eV/atom): -0.5523

---

The following is a DFT calculation (GGA-PBE) of a relaxed structure of LaSe3Br.

Cell lengths 5.9027, 5.9027, 5.9027 Å; angles 90.00, 90.00, 90.00 degrees
Last column: nearest neighbours and their distance in Å.
Sites, in units of the cell vectors:
Se (0.0000, 0.5000, 0.0000)  2 La 2.95
Se (0.0000, 0.0000, 0.5000)  2 La 2.95
Se (0.5000, 0.0000, 0.0000)  2 La 2.95
Br (0.5000, 0.5000, 0.5000)  12 Se 4.17
La (0.0000, 0.0000, 0.0000)  6 Se 2.95

Calculated total energy (eV per atom): -3.58
Magnetic moment (μB per formula unit): 4.0
ΔE to the lowest computed polymorph (eV per atom): 0.166
E_form (uncorrected) (eV/atom): -0.1703

---

The following is a DFT calculation (GGA-PBE) of a relaxed structure of ZnCrOs2.

Cell lengths 4.7397, 4.7397, 4.5243 Å; angles 79.66, 79.66, 33.70 degrees
Last column: nearest neighbours and their distance in Å.
Sites, in units of the cell vectors:
Cr (0.2576, 0.2576, 0.2554)  3 Zn 2.62-2.74, 7 Os 2.62-2.83, 2 Cr 2.75
Os (0.9991, 0.9991, 0.9881)  5 Os 2.63-2.75, 4 Zn 2.65, 3 Cr 2.68-2.83
Os (0.7426, 0.7426, 0.7689)  4 Cr 2.62-2.68, 5 Os 2.63-2.75, 3 Zn 2.74-2.81
Zn (0.5007, 0.5007, 0.4876)  3 Cr 2.62-2.74, 7 Os 2.65-2.81, 2 Zn 2.75

Calculated total energy (eV per atom): -8.09
Magnetic moment (μB per formula unit): 1.7
Formation energy (eV per atom): 0.254

---

The following is a DFT calculation (GGA-PBE) of a relaxed structure of KTlHgPb.

Cell lengths 3.8903, 3.8903, 8.7004 Å; angles 90.00, 90.00, 90.01 degrees
Last column: nearest neighbours and their distance in Å.
Sites, in units of the cell vectors:
K (0.6459, 0.3541, 0.9891)  4 Hg 3.55, 4 Pb 3.82, 4 K 3.89
Tl (0.6465, 0.3535, 0.4676)  4 Pb 3.33-3.34, 4 Hg 3.35
Hg (0.1459, 0.8541, 0.2478)  4 Tl 3.35, 4 K 3.55
Pb (0.1467, 0.8533, 0.6843)  4 Tl 3.33-3.34

Calculated total energy (eV per atom): -1.98
Magnetic moment (μB per formula unit): 0.0
Formation energy (eV per atom): -0.109

---

The following is a DFT calculation (GGA-PBE) of a relaxed structure of Ac4RuI2Br.

Cell lengths 4.3482, 8.4424, 8.8576 Å; angles 105.65, 90.00, 90.00 degrees
Last column: nearest neighbours and their distance in Å.
Sites, in units of the cell vectors:
Ac (0.5000, 0.2770, 0.2009)  1 Ru 2.92
Ac (0.5000, 0.7230, 0.7991)  1 Ru 2.92
Ac (0.0000, 0.3086, 0.8136)  2 Ru 2.94
Ac (0.0000, 0.6914, 0.1864)  2 Ru 2.94
Ru (0.5000, 0.5000, 0.0000)  6 Ac 2.92-2.94
I (0.5000, 0.0000, 0.5000)  6 Ac 3.91-3.98, 2 I 4.35
I (0.0000, 0.5000, 0.5000)  6 Ac 3.55-3.57
Br (0.0000, 0.0000, 0.0000)  6 Ac 3.33-3.44

Calculated total energy (eV per atom): -4.70
Magnetic moment (μB per formula unit): 0.0
E_form (uncorrected) (eV/atom): -0.8892

---

The following is a DFT calculation (GGA-PBE) of a relaxed structure of CaSc2Se.

Cell lengths 5.2024, 5.2024, 5.2024 Å; angles 60.00, 60.00, 60.00 degrees
Last column: nearest neighbours and their distance in Å.
Sites, in units of the cell vectors:
Sc (0.0000, 0.0000, 0.0000)  4 Sc 3.19, 4 Se 3.19
Sc (0.2500, 0.2500, 0.2500)  4 Ca 3.19, 4 Sc 3.19
Ca (0.5000, 0.5000, 0.5000)  4 Se 3.19, 4 Sc 3.19
Se (0.7500, 0.7500, 0.7500)  4 Sc 3.19, 4 Ca 3.19

Calculated total energy (eV per atom): -4.60
Magnetic moment (μB per formula unit): 3.2
E_form (uncorrected) (eV/atom): -0.0607

---

The following is a DFT calculation (GGA-PBE) of a relaxed structure of CeHfZn4.

Cell lengths 4.3146, 5.5924, 5.5924 Å; angles 87.28, 67.31, 67.31 degrees
Last column: nearest neighbours and their distance in Å.
Sites, in units of the cell vectors:
Ce (0.0000, 0.0000, 0.0000)  12 Zn 2.97-3.17
Hf (0.5000, 0.5000, 0.5000)  12 Zn 2.92-3.23
Zn (0.7833, 0.5506, 0.8828)  3 Zn 2.56
Zn (0.7833, 0.8828, 0.5506)  3 Zn 2.56
Zn (0.2167, 0.4494, 0.1172)  3 Zn 2.56
Zn (0.2167, 0.1172, 0.4494)  3 Zn 2.56

Calculated total energy (eV per atom): -3.69
Magnetic moment (μB per formula unit): 0.6
ΔE to the lowest computed polymorph (eV per atom): 0.000
Formation energy (eV per atom): -0.195